[1]
Tb6InNi (GGA-PBE, optimized geometry); ΔH_f (0 K) = 29 meV/atom; magnetic moment = 0.000 μB/cell; crystal system = triclinic
1.0
6.982 0.011 -0.003
3.485 6.070 0.004
3.466 2.015 5.999
Tb Ni In
6 1 1
direct
0.970 0.580 0.241
0.580 0.209 0.241
0.790 0.029 0.759
0.030 0.420 0.759
0.210 0.971 0.241
0.420 0.791 0.759
0.000 0.000 0.000
0.500 0.500 0.500

***

[2]
TbIn4Ni4 (GGA-PBE, optimized geometry); ΔH_f (0 K) = -42 meV/atom; magnetic moment = 0.000 μB/cell; crystal system = tetragonal
1.0
5.166 0.000 0.000
0.000 8.385 0.000
0.000 0.000 8.385
In Ni Tb
8 8 2
direct
0.892 0.391 0.162
0.892 0.609 0.838
0.392 0.338 0.891
0.392 0.662 0.109
0.608 0.891 0.662
0.608 0.109 0.338
0.108 0.838 0.391
0.108 0.162 0.609
0.109 0.855 0.704
0.609 0.796 0.355
0.391 0.645 0.796
0.391 0.355 0.204
0.891 0.296 0.855
0.109 0.145 0.296
0.609 0.204 0.645
0.891 0.704 0.145
0.500 0.500 0.500
0.000 0.000 0.000

***

[3]
TbIn6Ni6 (GGA-PBE, optimized geometry); ΔH_f (0 K) = -220 meV/atom; magnetic moment = 0.001 μB/cell; crystal system = orthorhombic
1.0
5.309 0.000 0.000
2.654 6.441 0.007
2.654 0.161 6.439
In Ni Tb
6 6 1
direct
0.679 0.821 0.821
0.000 0.668 0.332
0.000 0.332 0.668
0.341 0.659 0.659
0.659 0.341 0.341
0.321 0.179 0.179
0.500 0.238 0.762
0.000 0.500 0.000
0.500 0.762 0.238
0.500 0.000 0.500
0.500 0.500 0.000
0.000 0.000 0.500
0.000 0.000 0.000